# TlNi2Pt (PBE, relaxed)
data_TlNi2Pt
_symmetry_space_group_name_H-M 'P m m 2'
_symmetry_Int_Tables_number 25
_cell_length_a 2.929
_cell_length_b 3.555
_cell_length_c 5.803
_cell_angle_alpha 90.00
_cell_angle_beta 90.00
_cell_angle_gamma 90.00
loop_
_symmetry_equiv_pos_as_xyz
'x,y,z'
'-x,-y,z'
'-x,y,z'
'x,-y,z'
loop_
_atom_site_label
_atom_site_type_symbol
_atom_site_fract_x
_atom_site_fract_y
_atom_site_fract_z
_atom_site_occupancy
Tl1 Tl 0.000 0.000 0.000 1
Ni1 Ni 0.000 0.000 0.467 1
Ni2 Ni 0.500 0.500 0.260 1
Pt1 Pt 0.500 0.500 0.696 1
# Formation energy ... 0.16 eV per atom
# Energy relative to the lowest polymorph listed for this composition ... 63 meV/atom
# V ... 60.4 Å³/f.u.


# GeBrCl (PBE, relaxed)
data_GeBrCl
_symmetry_space_group_name_H-M 'C 1 2/m 1'
_symmetry_Int_Tables_number 12
_cell_length_a 14.078
_cell_length_b 3.965
_cell_length_c 7.222
_cell_angle_alpha 90.00
_cell_angle_beta 100.81
_cell_angle_gamma 90.00
loop_
_symmetry_equiv_pos_as_xyz
'x,y,z'
'-x,-y,-z'
'-x,y,-z'
'x,-y,z'
'x+1/2,y+1/2,z'
'-x+1/2,-y+1/2,-z'
'-x+1/2,y+1/2,-z'
'x+1/2,-y+1/2,z'
loop_
_atom_site_label
_atom_site_type_symbol
_atom_site_fract_x
_atom_site_fract_y
_atom_site_fract_z
_atom_site_occupancy
Ge1 Ge 0.243 0.000 0.240 1
Br1 Br 0.132 0.000 0.905 1
Cl1 Cl 0.145 0.500 0.348 1
# E_form (uncorrected) ... -0.66 eV/atom
# V ... 99.0 Å³/f.u.


Number 1: total energy -4.8337 eV per atom. Number 2: total energy -3.3698 eV per atom.